Record 1
# Mg2ZnTc, optimized geometry, DFT PBE-GGA
data_Mg2ZnTc
_space_group_name_H-M_alt 'P m m m'
_space_group_IT_number 47
_cell_length_a 2.7997
_cell_length_b 4.1940
_cell_length_c 5.6514
_cell_angle_alpha 90.00
_cell_angle_beta 90.00
_cell_angle_gamma 90.00
loop_
_space_group_symop_operation_xyz
'x,y,z'
'-x,-y,-z'
'-x,-y,z'
'x,y,-z'
'x,-y,-z'
'-x,y,z'
'-x,y,-z'
'x,-y,z'
loop_
_atom_site_label
_atom_site_type_symbol
_atom_site_fract_x
_atom_site_fract_y
_atom_site_fract_z
Mg1 Mg 0.0000 0.0000 0.2407
Zn1 Zn 0.5000 0.5000 0.5000
Tc1 Tc 0.5000 0.5000 0.0000
# ΔE_f: 139 meV/atom

Record 2
# Tb3Pm3Y8, optimized geometry, DFT PBE-GGA
data_Tb3Pm3Y8
_space_group_name_H-M_alt 'I m m m'
_space_group_IT_number 71
_space_group_name_Hall '-I 2 2'
_cell_length_a 5.6914
_cell_length_b 10.8308
_cell_length_c 15.1118
_cell_angle_alpha 90.00
_cell_angle_beta 90.00
_cell_angle_gamma 90.00
loop_
_atom_site_label
_atom_site_type_symbol
_atom_site_fract_x
_atom_site_fract_y
_atom_site_fract_z
Tb1 Tb 0.0000 0.0000 0.0000
Tb2 Tb 0.0000 0.2975 0.0000
Pm1 Pm 0.0000 0.0000 0.5000
Pm2 Pm 0.0000 0.5000 0.1820
Y1 Y 0.0000 0.1595 0.2208
Y2 Y 0.0000 0.3415 0.3971
# ΔE_f: 114 meV/atom

Record 3
# CdBr2Cl, optimized geometry, DFT PBE-GGA
data_CdBr2Cl
_space_group_name_H-M_alt 'I 4/m m m'
_space_group_IT_number 139
_space_group_name_Hall '-I 4 2'
_cell_length_a 4.0784
_cell_length_b 4.0784
_cell_length_c 13.3926
_cell_angle_alpha 90.00
_cell_angle_beta 90.00
_cell_angle_gamma 90.00
loop_
_atom_site_label
_atom_site_type_symbol
_atom_site_fract_x
_atom_site_fract_y
_atom_site_fract_z
Cd1 Cd 0.0000 0.0000 0.0000
Br1 Br 0.0000 0.5000 0.2500
Cl1 Cl 0.0000 0.0000 0.5000
# formation energy (no corrections): -149 meV per atom

Record 4
# NaFeTc2, optimized geometry, DFT PBE-GGA
data_NaFeTc2
_space_group_name_H-M_alt 'I -4 2 d'
_space_group_IT_number 122
_space_group_name_Hall 'I -4 2bw'
_cell_length_a 7.0959
_cell_length_b 7.0959
_cell_length_c 5.1330
_cell_angle_alpha 90.00
_cell_angle_beta 90.00
_cell_angle_gamma 90.00
loop_
_atom_site_label
_atom_site_type_symbol
_atom_site_fract_x
_atom_site_fract_y
_atom_site_fract_z
Na1 Na 0.0000 0.0000 0.0000
Fe1 Fe 0.0000 0.0000 0.5000
Tc1 Tc 0.1843 0.2500 0.6250
# ΔE_f: 1004 meV/atom

Record 5
# BiB2PdCl, optimized geometry, DFT PBE-GGA
data_BiB2PdCl
_space_group_name_H-M_alt 'P 4/m m m'
_space_group_IT_number 123
_space_group_name_Hall '-P 4 2'
_cell_length_a 4.8078
_cell_length_b 4.8078
_cell_length_c 5.2800
_cell_angle_alpha 90.00
_cell_angle_beta 90.00
_cell_angle_gamma 90.00
loop_
_atom_site_label
_atom_site_type_symbol
_atom_site_fract_x
_atom_site_fract_y
_atom_site_fract_z
Bi1 Bi 0.0000 0.0000 0.0000
B1 B 0.0000 0.5000 0.0000
Pd1 Pd 0.0000 0.0000 0.5000
Cl1 Cl 0.5000 0.5000 0.5000
# formation energy (no corrections): 1723 meV per atom

Record 6
# HfSbTe2Br, optimized geometry, DFT PBE-GGA
data_HfSbTe2Br
_space_group_name_H-M_alt 'P 4/m m m'
_space_group_IT_number 123
_space_group_name_Hall '-P 4 2'
_cell_length_a 5.4810
_cell_length_b 5.4810
_cell_length_c 5.3186
_cell_angle_alpha 90.00
_cell_angle_beta 90.00
_cell_angle_gamma 90.00
loop_
_atom_site_label
_atom_site_type_symbol
_atom_site_fract_x
_atom_site_fract_y
_atom_site_fract_z
Hf1 Hf 0.0000 0.0000 0.0000
Sb1 Sb 0.5000 0.5000 0.0000
Te1 Te 0.0000 0.5000 0.5000
Br1 Br 0.5000 0.5000 0.5000
# formation energy (no corrections): 1035 meV per atom

Record 7
# Pr6BiTe3Pb2, optimized geometry, DFT PBE-GGA
data_Pr6BiTe3Pb2
_space_group_name_H-M_alt 'C 1 2/m 1'
_space_group_IT_number 12
_cell_length_a 19.9667
_cell_length_b 4.5984
_cell_length_c 9.1694
_cell_angle_alpha 90.00
_cell_angle_beta 102.95
_cell_angle_gamma 90.00
loop_
_space_group_symop_operation_xyz
'x,y,z'
'-x,-y,-z'
'-x,y,-z'
'x,-y,z'
'x+1/2,y+1/2,z'
'-x+1/2,-y+1/2,-z'
'-x+1/2,y+1/2,-z'
'x+1/2,-y+1/2,z'
loop_
_atom_site_label
_atom_site_type_symbol
_atom_site_fract_x
_atom_site_fract_y
_atom_site_fract_z
Pr1 Pr 0.0026 0.0000 0.2501
Pr2 Pr 0.1666 0.5000 0.0888
Pr3 Pr 0.1680 0.5000 0.5796
Bi1 Bi 0.0000 0.5000 0.0000
Te1 Te 0.0000 0.5000 0.5000
Te2 Te 0.1656 0.0000 0.8334
Pb1 Pb 0.1668 0.0000 0.3331
# formation energy (no corrections): -1109 meV per atom

Record 8
# Ba3TlAs2O8, optimized geometry, DFT PBE-GGA
data_Ba3TlAs2O8
_space_group_name_H-M_alt 'P -3 m 1'
_space_group_IT_number 164
_space_group_name_Hall '-P 3 2"'
_cell_length_a 5.8336
_cell_length_b 5.8336
_cell_length_c 9.7709
_cell_angle_alpha 90.00
_cell_angle_beta 90.00
_cell_angle_gamma 120.00
loop_
_atom_site_label
_atom_site_type_symbol
_atom_site_fract_x
_atom_site_fract_y
_atom_site_fract_z
Ba1 Ba 0.0000 0.0000 0.0000
Ba2 Ba 0.3333 0.6667 0.7311
Tl1 Tl 0.0000 0.0000 0.5000
As1 As 0.3333 0.6667 0.1662
O1 O 0.1726 0.3451 0.2258
O2 O 0.3333 0.6667 0.9893
# formation energy (no corrections): -1937 meV per atom

Record 9
# Nd12Ho2Mg, optimized geometry, DFT PBE-GGA
data_Nd12Ho2Mg
_space_group_name_H-M_alt 'C m m e'
_space_group_IT_number 67
_space_group_name_Hall '-C 2a 2'
_cell_length_a 7.2082
_cell_length_b 11.6817
_cell_length_c 24.8572
_cell_angle_alpha 90.00
_cell_angle_beta 90.00
_cell_angle_gamma 90.00
loop_
_atom_site_label
_atom_site_type_symbol
_atom_site_fract_x
_atom_site_fract_y
_atom_site_fract_z
Nd1 Nd 0.0000 0.0007 0.0739
Nd2 Nd 0.0000 0.0245 0.5605
Nd3 Nd 0.2306 0.2500 0.4136
Nd4 Nd 0.2489 0.2500 0.8724
Nd5 Nd 0.2500 0.0000 0.1971
Nd6 Nd 0.2500 0.0000 0.3238
Ho1 Ho 0.0000 0.2500 0.2648
Ho2 Ho 0.0000 0.2500 0.7315
Mg1 Mg 0.0000 0.2500 0.9999
# ΔE_f: 146 meV/atom

Record 10
# SmHo6Al2, optimized geometry, DFT PBE-GGA
data_SmHo6Al2
_space_group_name_H-M_alt 'C 1 2/m 1'
_space_group_IT_number 12
_cell_length_a 12.4901
_cell_length_b 3.6669
_cell_length_c 11.7163
_cell_angle_alpha 90.00
_cell_angle_beta 108.42
_cell_angle_gamma 90.00
loop_
_space_group_symop_operation_xyz
'x,y,z'
'-x,-y,-z'
'-x,y,-z'
'x,-y,z'
'x+1/2,y+1/2,z'
'-x+1/2,-y+1/2,-z'
'-x+1/2,y+1/2,-z'
'x+1/2,-y+1/2,z'
loop_
_atom_site_label
_atom_site_type_symbol
_atom_site_fract_x
_atom_site_fract_y
_atom_site_fract_z
Sm1 Sm 0.0000 0.0000 0.0000
Ho1 Ho 0.0195 0.0000 0.3332
Ho2 Ho 0.1892 0.5000 0.8745
Ho3 Ho 0.1898 0.5000 0.5863
Al1 Al 0.1490 0.5000 0.2111
# ΔE_f: -164 meV/atom

Record 11
# LaTbIn4, optimized geometry, DFT PBE-GGA
data_LaTbIn4
_space_group_name_H-M_alt 'F -4 3 m'
_space_group_IT_number 216
_space_group_name_Hall 'F -4 2 3'
_cell_length_a 8.6101
_cell_length_b 8.6101
_cell_length_c 8.6101
_cell_angle_alpha 90.00
_cell_angle_beta 90.00
_cell_angle_gamma 90.00
loop_
_atom_site_label
_atom_site_type_symbol
_atom_site_fract_x
_atom_site_fract_y
_atom_site_fract_z
La1 La 0.0000 0.0000 0.0000
Tb1 Tb 0.2500 0.2500 0.7500
In1 In 0.1249 0.1249 0.3751
# ΔE_f: -404 meV/atom

Record 12
# LiAg5Au3, optimized geometry, DFT PBE-GGA
data_LiAg5Au3
_space_group_name_H-M_alt 'I 4/m c m'
_space_group_IT_number 140
_space_group_name_Hall '-I 4 2c'
_cell_length_a 7.5747
_cell_length_b 7.5747
_cell_length_c 11.8555
_cell_angle_alpha 90.00
_cell_angle_beta 90.00
_cell_angle_gamma 90.00
loop_
_atom_site_label
_atom_site_type_symbol
_atom_site_fract_x
_atom_site_fract_y
_atom_site_fract_z
Li1 Li 0.0000 0.5000 0.2500
Ag1 Ag 0.0000 0.0000 0.0000
Ag2 Ag 0.1922 0.3078 0.1446
Au1 Au 0.0000 0.0000 0.2500
Au2 Au 0.1204 0.3796 0.5000
# ΔE_f: 118 meV/atom